# InPS3, relaxed, DFT PBE
# * size of the total moment: 0.000 μB/f.u.
# * N(E_F): 6.84 states/eV per cell
# * electronic total energy: -3.11 eV per atom
# * formation energy from raw total energies: 995 meV per atom
data_InPS3
_symmetry_space_group_name_H-M 'P m -3 m'
_symmetry_Int_Tables_number 221
_symmetry_space_group_name_Hall '-P 4 2 3'
_cell_length_a 4.9486
_cell_length_b 4.9486
_cell_length_c 4.9486
_cell_angle_alpha 90.00
_cell_angle_beta 90.00
_cell_angle_gamma 90.00
loop_
_atom_site_label
_atom_site_type_symbol
_atom_site_fract_x
_atom_site_fract_y
_atom_site_fract_z
In1 In 0.0000 0.0000 0.0000
P1 P 0.5000 0.5000 0.5000
S1 S 0.0000 0.0000 0.5000